# Pm2Sm2Dy5 | the Alexandria database | PBE | optimized geometry
# total DFT energy (no corrections): -4.45 eV per atom
# spin magnetization: 0.0 μB per formula unit
# energy relative to the lowest polymorph listed for this composition: 0.0 meV/atom
# energy relative to the elements: 0.21 eV per atom
data_Pm2Sm2Dy5
_cell_length_a 14.9680
_cell_length_b 11.8573
_cell_length_c 6.7586
_cell_angle_alpha 90.00
_cell_angle_beta 90.00
_cell_angle_gamma 90.00
_symmetry_space_group_name_H-M 'I m a 2'
_symmetry_Int_Tables_number 46
_symmetry_space_group_name_Hall 'I 2 -2a'
loop_
_atom_site_label
_atom_site_type_symbol
_atom_site_fract_x
_atom_site_fract_y
_atom_site_fract_z
_atom_site_occupancy
Pm1 Pm 0.1267 0.0020 0.0000 1
Sm1 Sm 0.0000 0.0000 0.4567 1
Sm2 Sm 0.2500 0.5098 0.0478 1
Dy1 Dy 0.0527 0.2453 0.6482 1
Dy2 Dy 0.1427 0.7350 0.8327 1
Dy3 Dy 0.2500 0.2447 0.8490 1